First-principles (PBE) data for crystalline RbMg2InCo at its relaxed geometry, as listed in the Alexandria database.

Results
DFT total energy ... -13.45 eV/cell

```
data_RbMg2InCo
_cell_length_a 5.108
_cell_length_b 5.108
_cell_length_c 5.056
_cell_angle_alpha 90.00
_cell_angle_beta 90.00
_cell_angle_gamma 90.00
_space_group_name_H-M_alt 'P 4/m m m'
_space_group_IT_number 123
_space_group_name_Hall '-P 4 2'
loop_
_atom_site_label
_atom_site_type_symbol
_atom_site_fract_x
_atom_site_fract_y
_atom_site_fract_z
_atom_site_occupancy
Rb1 Rb 0.000 0.000 0.000 1
Mg1 Mg 0.000 0.500 0.500 1
In1 In 0.500 0.500 0.000 1
Co1 Co 0.500 0.500 0.500 1
```